Material: CdTc2Pb
Method: DFT, GGA-PBE
State: optimized geometry

Summary:
ΔE to the lowest computed polymorph: 570.2 meV per atom
total magnetization: 0.00 μB/f.u.
formation enthalpy at 0 K: 0.7793 eV per atom
VASP energy: -22.24 eV/cell
SG: F-43m

POSCAR file:
```
CdTc2Pb
1.0
0.000 3.322 3.322
3.322 0.000 3.322
3.322 3.322 0.000
Cd Tc Pb
1 2 1
direct
0.000 0.000 0.000 Cd
0.500 0.500 0.500 Tc
0.750 0.750 0.750 Tc
0.250 0.250 0.250 Pb
```